Record 1
{"formula": "LiSbPd2", "functional": "GGA-PBE", "state": "optimized geometry", "e_form_raw_mev_per_atom": -551, "spacegroup": "No. 123", "magmom_total_mub_per_fu": 0.000, "cell": [[4.253, 0.000, 0.000], [0.000, 4.253, 0.000], [0.000, 0.000, 3.616]], "species": ["Li", "Sb", "Pd", "Pd"], "frac_coords": [[0.000, 0.000, 0.000], [0.500, 0.500, 0.000], [0.000, 0.500, 0.500], [0.500, 0.000, 0.500]]}

=====

Record 2
{"formula": "CeGdGa", "functional": "GGA-PBE", "state": "optimized geometry", "relative_energy_mev_per_atom": 106, "spacegroup": "No. 216", "magmom_total_mub_per_fu": 8.786, "cell": [[0.000, 3.541, 3.541], [3.541, 0.000, 3.541], [3.541, 3.541, 0.000]], "species": ["Ce", "Gd", "Ga"], "frac_coords": [[0.000, 0.000, 0.000], [0.500, 0.500, 0.500], [0.750, 0.750, 0.750]]}

=====

Record 3
{"formula": "PaPbAu4", "functional": "GGA-PBE", "state": "optimized geometry", "e_tot_ha_per_atom": -0.1652, "spacegroup": "No. 216", "magmom_total_mub_per_fu": 1.142, "cell": [[0.000, 4.023, 4.023], [4.023, 0.000, 4.023], [4.023, 4.023, 0.000]], "species": ["Pa", "Pb", "Au", "Au", "Au", "Au"], "frac_coords": [[0.000, 0.000, 0.000], [0.250, 0.250, 0.250], [0.124, 0.625, 0.625], [0.625, 0.124, 0.625], [0.625, 0.625, 0.124], [0.625, 0.625, 0.625]]}

=====

Record 4
{"formula": "Ac2HoGa3Rh4", "functional": "GGA-PBE", "state": "optimized geometry", "e_tot_ha_per_atom": -0.2181, "spacegroup": "No. 115", "magmom_total_mub_per_fu": 0.000, "cell": [[4.378, 0.000, 0.000], [0.000, 4.378, 0.000], [0.000, 0.000, 11.054]], "species": ["Ac", "Ac", "Ho", "Ga", "Ga", "Ga", "Rh", "Rh", "Rh", "Rh"], "frac_coords": [[0.000, 0.500, 0.226], [0.500, 0.000, 0.774], [0.000, 0.000, 0.500], [0.000, 0.500, 0.887], [0.500, 0.000, 0.113], [0.500, 0.500, 0.500], [0.000, 0.000, 0.000], [0.000, 0.500, 0.651], [0.500, 0.000, 0.349], [0.500, 0.500, 0.000]]}

=====

Record 5
{"formula": "TcRu2Pt", "functional": "GGA-PBE", "state": "optimized geometry", "relative_energy_mev_per_atom": 49, "spacegroup": "No. 25", "magmom_total_mub_per_fu": 0.000, "cell": [[2.715, 0.000, 0.000], [0.000, 3.908, 0.000], [0.000, 0.000, 5.447]], "species": ["Tc", "Ru", "Ru", "Pt"], "frac_coords": [[0.000, 0.000, 0.000], [0.000, 0.000, 0.524], [0.500, 0.500, 0.759], [0.500, 0.500, 0.261]]}

=====

Record 6
{"formula": "PmPr2YHo", "functional": "GGA-PBE", "state": "optimized geometry", "e_tot_ha_per_atom": -0.1712, "spacegroup": "No. 63", "magmom_total_mub_per_fu": 0.000, "cell": [[4.251, -5.867, 0.000], [4.251, 5.867, 0.000], [0.000, 0.000, 7.336]], "species": ["Pm", "Pm", "Pr", "Pr", "Pr", "Pr", "Y", "Y", "Ho", "Ho"], "frac_coords": [[0.222, 0.778, 0.750], [0.778, 0.222, 0.250], [0.192, 0.192, 0.000], [0.192, 0.192, 0.500], [0.808, 0.808, 0.000], [0.808, 0.808, 0.500], [0.487, 0.513, 0.750], [0.513, 0.487, 0.250], [0.236, 0.764, 0.250], [0.764, 0.236, 0.750]]}

=====

Record 7
{"formula": "Ac3Sm2DySe6", "functional": "GGA-PBE", "state": "optimized geometry", "e_form_raw_mev_per_atom": -1824, "spacegroup": "No. 12", "magmom_total_mub_per_fu": 0.000, "cell": [[3.665, -6.370, 0.000], [3.665, 6.370, 0.000], [-2.459, 0.000, 7.233]], "species": ["Ac", "Ac", "Ac", "Sm", "Sm", "Dy", "Se", "Se", "Se", "Se", "Se", "Se"], "frac_coords": [[0.000, 0.000, 0.000], [0.331, 0.669, 0.000], [0.669, 0.331, 0.000], [0.167, 0.833, 0.500], [0.833, 0.167, 0.500], [0.500, 0.500, 0.500], [0.098, 0.425, 0.275], [0.248, 0.248, 0.728], [0.425, 0.098, 0.275], [0.575, 0.902, 0.725], [0.752, 0.752, 0.272], [0.902, 0.575, 0.725]]}

=====

Record 8
{"formula": "AlAuI6", "functional": "GGA-PBE", "state": "optimized geometry", "e_form_raw_mev_per_atom": -283, "relative_energy_mev_per_atom": 0, "spacegroup": "No. 12", "magmom_total_mub_per_fu": 0.000, "cell": [[4.645, -4.795, 0.000], [4.645, 4.795, 0.000], [-1.071, 0.000, 7.630]], "species": ["Al", "Au", "I", "I", "I", "I", "I", "I"], "frac_coords": [[0.000, 0.000, 0.000], [0.000, 0.000, 0.500], [0.127, 0.733, 0.724], [0.267, 0.873, 0.276], [0.280, 0.280, 0.946], [0.720, 0.720, 0.054], [0.733, 0.127, 0.724], [0.873, 0.267, 0.276]]}

=====

Record 9
{"formula": "Nd2DyPaAs5", "functional": "GGA-PBE", "state": "optimized geometry", "e_tot_ha_per_atom": -0.2140, "spacegroup": "No. 123", "magmom_total_mub_per_fu": 0.000, "cell": [[5.090, 0.000, 0.000], [0.000, 5.090, 0.000], [0.000, 0.000, 10.917]], "species": ["Nd", "Nd", "Dy", "Pa", "As", "As", "As", "As", "As"], "frac_coords": [[0.000, 0.000, 0.227], [0.000, 0.000, 0.773], [0.500, 0.500, 0.500], [0.500, 0.500, 0.000], [0.000, 0.000, 0.500], [0.000, 0.500, 0.000], [0.500, 0.000, 0.000], [0.500, 0.500, 0.254], [0.500, 0.500, 0.746]]}

=====

Record 10
{"formula": "CdIn3Pd6", "functional": "GGA-PBE", "state": "optimized geometry", "relative_energy_mev_per_atom": 0, "spacegroup": "No. 11", "magmom_total_mub_per_fu": 0.000, "cell": [[7.740, 0.000, 0.000], [0.000, 4.742, 0.000], [-3.715, 0.000, 9.412]], "species": ["Cd", "Cd", "In", "In", "In", "In", "In", "In", "Pd", "Pd", "Pd", "Pd", "Pd", "Pd", "Pd", "Pd", "Pd", "Pd", "Pd", "Pd"], "frac_coords": [[0.049, 0.250, 0.414], [0.951, 0.750, 0.586], [0.217, 0.250, 0.015], [0.359, 0.750, 0.787], [0.462, 0.250, 0.620], [0.538, 0.750, 0.380], [0.641, 0.250, 0.213], [0.783, 0.750, 0.985], [0.067, 0.750, 0.879], [0.150, 0.250, 0.715], [0.156, 0.750, 0.184], [0.260, 0.750, 0.491], [0.343, 0.250, 0.315], [0.461, 0.750, 0.079], [0.539, 0.250, 0.921], [0.657, 0.750, 0.685], [0.740, 0.250, 0.509], [0.844, 0.250, 0.816], [0.850, 0.750, 0.285], [0.933, 0.250, 0.121]]}

=====

Record 11
{"formula": "CaCo2P", "functional": "GGA-PBE", "state": "optimized geometry", "e_tot_ha_per_atom": -0.2008, "spacegroup": "No. 10", "magmom_total_mub_per_fu": 0.000, "cell": [[2.912, 0.000, 0.000], [0.000, 3.396, 0.000], [-1.290, 0.000, 6.247]], "species": ["Ca", "Co", "Co", "P"], "frac_coords": [[0.000, 0.000, 0.000], [0.346, 0.500, 0.667], [0.654, 0.500, 0.333], [0.000, 0.000, 0.500]]}

=====

Record 12
{"formula": "CoSb3H", "functional": "GGA-PBE", "state": "optimized geometry", "relative_energy_mev_per_atom": 28, "spacegroup": "No. 221", "magmom_total_mub_per_fu": 1.060, "cell": [[4.579, 0.000, 0.000], [0.000, 4.579, 0.000], [0.000, 0.000, 4.579]], "species": ["Co", "Sb", "Sb", "Sb", "H"], "frac_coords": [[0.000, 0.000, 0.000], [0.000, 0.500, 0.500], [0.500, 0.000, 0.500], [0.500, 0.500, 0.000], [0.500, 0.500, 0.500]]}

=====

Record 13
{"formula": "SrCd2Pb2", "functional": "GGA-PBE", "state": "optimized geometry", "e_tot_ha_per_atom": -0.0847, "spacegroup": "No. 127", "magmom_total_mub_per_fu": 0.000, "cell": [[8.851, 0.000, 0.000], [0.000, 8.851, 0.000], [0.000, 0.000, 3.914]], "species": ["Sr", "Sr", "Cd", "Cd", "Cd", "Cd", "Pb", "Pb", "Pb", "Pb"], "frac_coords": [[0.000, 0.000, 0.000], [0.500, 0.500, 0.000], [0.160, 0.340, 0.500], [0.340, 0.840, 0.500], [0.660, 0.160, 0.500], [0.840, 0.660, 0.500], [0.134, 0.634, 0.000], [0.366, 0.134, 0.000], [0.634, 0.866, 0.000], [0.866, 0.366, 0.000]]}

=====

Record 14
{"formula": "Cr2IrW", "functional": "GGA-PBE", "state": "optimized geometry", "e_tot_ha_per_atom": -0.3739, "spacegroup": "No. 25", "magmom_total_mub_per_fu": 0.002, "cell": [[2.714, 0.000, 0.000], [0.000, 3.736, 0.000], [0.000, 0.000, 5.414]], "species": ["Cr", "Cr", "Ir", "W"], "frac_coords": [[0.000, 0.000, 0.000], [0.500, 0.500, 0.228], [0.000, 0.000, 0.471], [0.500, 0.500, 0.743]]}

=====

Record 15
{"formula": "BaCrOs2Br", "functional": "GGA-PBE", "state": "optimized geometry", "e_form_raw_mev_per_atom": 2292, "spacegroup": "No. 123", "magmom_total_mub_per_fu": 0.383, "cell": [[4.674, 0.000, 0.000], [0.000, 4.674, 0.000], [0.000, 0.000, 5.631]], "species": ["Ba", "Cr", "Os", "Os", "Br"], "frac_coords": [[0.000, 0.000, 0.000], [0.500, 0.500, 0.000], [0.000, 0.500, 0.500], [0.500, 0.000, 0.500], [0.000, 0.000, 0.500]]}

=====

Record 16
{"formula": "HoThPd", "functional": "GGA-PBE", "state": "optimized geometry", "relative_energy_mev_per_atom": 185, "spacegroup": "No. 156", "magmom_total_mub_per_fu": 0.000, "cell": [[4.866, 0.000, 0.000], [-2.433, 4.214, 0.000], [0.000, 0.000, 3.793]], "species": ["Ho", "Th", "Pd"], "frac_coords": [[0.000, 0.000, 0.000], [0.333, 0.667, 0.454], [0.667, 0.333, 0.763]]}

=====

Record 17
{"formula": "DyZrCdOs", "functional": "GGA-PBE", "state": "optimized geometry", "e_tot_ha_per_atom": -0.2386, "spacegroup": "No. 216", "magmom_total_mub_per_fu": 0.000, "cell": [[0.000, 3.468, 3.468], [3.468, 0.000, 3.468], [3.468, 3.468, 0.000]], "species": ["Dy", "Zr", "Cd", "Os"], "frac_coords": [[0.000, 0.000, 0.000], [0.500, 0.500, 0.500], [0.750, 0.750, 0.750], [0.250, 0.250, 0.250]]}

=====

Record 18
{"formula": "SmNp2In3Te6", "functional": "GGA-PBE", "state": "optimized geometry", "e_form_raw_mev_per_atom": -642, "spacegroup": "No. 12", "magmom_total_mub_per_fu": 8.010, "cell": [[3.855, -6.676, 0.000], [3.855, 6.676, 0.000], [-2.569, 0.000, 8.147]], "species": ["Sm", "Np", "Np", "In", "In", "In", "Te", "Te", "Te", "Te", "Te", "Te"], "frac_coords": [[0.000, 0.000, 0.000], [0.333, 0.667, 0.000], [0.667, 0.333, 0.000], [0.165, 0.835, 0.500], [0.500, 0.500, 0.500], [0.835, 0.165, 0.500], [0.074, 0.411, 0.222], [0.263, 0.263, 0.779], [0.411, 0.074, 0.222], [0.589, 0.926, 0.778], [0.737, 0.737, 0.221], [0.926, 0.589, 0.778]]}

=====

Record 19
{"formula": "CoPS2N", "functional": "GGA-PBE", "state": "optimized geometry", "e_form_raw_mev_per_atom": 63, "relative_energy_mev_per_atom": 115, "spacegroup": "No. 8", "magmom_total_mub_per_fu": 0.287, "cell": [[5.036, -1.370, 0.000], [5.036, 1.370, 0.000], [-3.303, 0.000, 6.810]], "species": ["Co", "P", "S", "S", "N"], "frac_coords": [[0.000, 0.000, 0.000], [0.922, 0.922, 0.230], [0.336, 0.336, 0.804], [0.686, 0.686, 0.191], [0.470, 0.470, 0.359]]}

=====

Record 20
{"formula": "Nd2CF", "functional": "GGA-PBE", "state": "optimized geometry", "e_form_raw_mev_per_atom": -1403, "relative_energy_mev_per_atom": 58, "spacegroup": "No. 160", "magmom_total_mub_per_fu": 0.000, "cell": [[1.823, 1.053, 6.587], [-1.823, 1.053, 6.587], [0.000, -2.105, 6.587]], "species": ["Nd", "Nd", "C", "F"], "frac_coords": [[0.000, 0.000, 0.000], [0.191, 0.191, 0.191], [0.595, 0.595, 0.595], [0.766, 0.766, 0.766]]}